The following is a DFT calculation (PBE-GGA) of a geometry-optimized SnPb2Cl structure.

Calculated values
- formation energy (no corrections) (meV per atom) = -239
- calculated density (g/cm3) = 8.42
- N(E_F) (states/eV per cell) = 8.61

Unit cell a=7.656 b=7.656 c=7.656 alpha=90.00 beta=90.00 gamma=90.00
Space group Fm-3m (No. 225)
Inequivalent atoms, fractional coordinates:
Sn 0.000 0.000 0.000
Pb 0.250 0.250 0.250
Cl 0.000 0.000 0.500

---

The following is a DFT calculation (PBE-GGA) of a geometry-optimized Sn5Pb3Cl16 structure.

Calculated values
- formation energy (no corrections) (meV per atom) = -1045
- calculated density (g/cm3) = 3.51
- N(E_F) (states/eV per cell) = 0.00

Unit cell a=15.694 b=8.588 c=12.552 alpha=90.00 beta=94.06 gamma=90.00
Space group Cm (No. 8)
Inequivalent atoms, fractional coordinates:
Sn 0.000 0.000 0.000
Sn 0.017 0.500 0.204
Sn 0.085 0.245 0.491
Sn 0.346 0.500 0.707
Pb 0.248 0.251 0.976
Pb 0.341 0.000 0.470
Cl 0.006 0.000 0.590
Cl 0.102 0.270 0.098
Cl 0.129 0.000 0.872
Cl 0.146 0.000 0.372
Cl 0.147 0.500 0.352
Cl 0.200 0.500 0.815
Cl 0.274 0.236 0.595
Cl 0.317 0.500 0.101
Cl 0.323 0.000 0.099
Cl 0.415 0.287 0.867
Cl 0.450 0.235 0.349
Cl 0.491 0.000 0.599

---

The following is a DFT calculation (PBE-GGA) of a geometry-optimized SnPb2Cl6 structure.

Calculated values
- formation energy (no corrections) (meV per atom) = -1095
- calculated density (g/cm3) = 3.98
- N(E_F) (states/eV per cell) = 0.00

Unit cell a=7.440 b=6.764 c=14.440 alpha=90.00 beta=120.99 gamma=90.00
Space group P2_1/c (No. 14)
Inequivalent atoms, fractional coordinates:
Sn 0.000 0.000 0.000
Pb 0.320 0.001 0.820
Cl 0.008 0.735 0.337
Cl 0.334 0.736 0.663
Cl 0.335 0.214 0.000

---

The following is a DFT calculation (PBE-GGA) of a geometry-optimized SnPb2Cl6 structure.

Calculated values
- formation energy (no corrections) (meV per atom) = -1098
- calculated density (g/cm3) = 4.07
- N(E_F) (states/eV per cell) = 0.00

Unit cell a=6.780 b=6.780 c=13.232 alpha=90.00 beta=90.00 gamma=90.00
Space group P4_2/mnm (No. 136)
Inequivalent atoms, fractional coordinates:
Sn 0.000 0.000 0.000
Pb 0.000 0.000 0.334
Cl 0.196 0.196 0.164
Cl 0.201 0.201 0.500

---

The following is a DFT calculation (PBE-GGA) of a geometry-optimized Sn3Pb5Cl16 structure.

Calculated values
- formation energy (no corrections) (meV per atom) = -1084
- calculated density (g/cm3) = 3.80
- N(E_F) (states/eV per cell) = 0.00

Unit cell a=15.461 b=8.528 c=13.005 alpha=90.00 beta=90.16 gamma=90.00
Space group Cm (No. 8)
Inequivalent atoms, fractional coordinates:
Sn 0.000 0.000 0.000
Sn 0.425 0.249 0.486
Pb 0.169 0.000 0.266
Pb 0.171 0.500 0.496
Pb 0.244 0.252 0.984
Pb 0.493 0.000 0.767
Cl 0.002 0.000 0.375
Cl 0.021 0.500 0.374
Cl 0.062 0.266 0.617
Cl 0.095 0.225 0.117
Cl 0.135 0.000 0.874
Cl 0.168 0.500 0.858
Cl 0.247 0.256 0.380
Cl 0.306 0.500 0.106
Cl 0.309 0.000 0.118
Cl 0.356 0.000 0.616
Cl 0.356 0.500 0.599
Cl 0.415 0.251 0.882

---

The following is a DFT calculation (PBE-GGA) of a geometry-optimized SrSnPbCl6 structure.

Calculated values
- formation energy (no corrections) (meV per atom) = -1536
- calculated density (g/cm3) = 3.42
- N(E_F) (states/eV per cell) = 0.00

Unit cell a=6.758 b=6.758 c=13.326 alpha=90.00 beta=90.00 gamma=90.00
Space group P4_2nm (No. 102)
Inequivalent atoms, fractional coordinates:
Sr 0.000 0.000 0.000
Sn 0.000 0.000 0.667
Pb 0.000 0.000 0.332
Cl 0.194 0.194 0.831
Cl 0.195 0.195 0.502
Cl 0.199 0.199 0.167

---

The following is a DFT calculation (PBE-GGA) of a geometry-optimized TaSnPbCl2 structure.

Calculated values
- formation energy (no corrections) (meV per atom) = 854
- calculated density (g/cm3) = 5.95
- N(E_F) (states/eV per cell) = 8.37

Unit cell a=5.076 b=5.076 c=6.261 alpha=90.00 beta=90.00 gamma=90.00
Space group P4/mmm (No. 123)
Inequivalent atoms, fractional coordinates:
Ta 0.000 0.000 0.000
Sn 0.500 0.500 0.500
Pb 0.500 0.500 0.000
Cl 0.000 0.500 0.500

---

The following is a DFT calculation (PBE-GGA) of a geometry-optimized TcSn2PbCl structure.

Calculated values
- formation energy (no corrections) (meV per atom) = -214
- calculated density (g/cm3) = 6.79
- N(E_F) (states/eV per cell) = 0.00

Unit cell a=5.155 b=5.155 c=5.317 alpha=90.00 beta=90.00 gamma=90.00
Space group P4/mmm (No. 123)
Inequivalent atoms, fractional coordinates:
Tc 0.000 0.000 0.000
Sn 0.000 0.500 0.000
Pb 0.000 0.000 0.500
Cl 0.500 0.500 0.500

---

The following is a DFT calculation (PBE-GGA) of a geometry-optimized TlSnPbCl6 structure.

Calculated values
- formation energy (no corrections) (meV per atom) = -1002
- calculated density (g/cm3) = 3.95
- N(E_F) (states/eV per cell) = 11.99

Unit cell a=7.2930 b=7.2930 c=13.5702 alpha=90.00 beta=90.00 gamma=120.00
Space group P-31c (No. 163)
Inequivalent atoms, fractional coordinates:
Tl 0.0000 0.0000 0.0000
Sn 0.3333 0.6667 0.2500
Pb 0.3333 0.6667 0.7500
Cl 0.0281 0.3783 0.1363

---

The following is a DFT calculation (PBE-GGA) of a geometry-optimized TlSnPbCl5 structure.

Calculated values
- formation energy (no corrections) (meV per atom) = -1048
- calculated density (g/cm3) = 4.11
- N(E_F) (states/eV per cell) = 0.00

Unit cell a=10.439 b=11.733 c=10.146 alpha=90.00 beta=112.96 gamma=90.00
Space group C2/c (No. 15)
Inequivalent atoms, fractional coordinates:
Tl 0.000 0.064 0.250
Sn 0.000 0.497 0.250
Pb 0.250 0.250 0.000
Cl 0.000 0.202 0.750
Cl 0.030 0.339 0.084
Cl 0.209 0.019 0.084

---

The following is a DFT calculation (PBE-GGA) of a geometry-optimized TlSn2PbCl8 structure.

Calculated values
- formation energy (no corrections) (meV per atom) = -967
- calculated density (g/cm3) = 3.84
- N(E_F) (states/eV per cell) = 6.21

Unit cell a=6.792 b=6.892 c=8.622 alpha=88.37 beta=88.36 gamma=88.84
Space group P-1 (No. 2)
Inequivalent atoms, fractional coordinates:
Tl 0.000 0.000 0.000
Sn 0.491 0.491 0.251
Pb 0.000 0.000 0.500
Cl 0.225 0.791 0.267
Cl 0.228 0.794 0.733
Cl 0.289 0.309 0.485
Cl 0.309 0.328 0.026

---

The following is a DFT calculation (PBE-GGA) of a geometry-optimized VSn2PbCl8 structure.

Calculated values
- formation energy (no corrections) (meV per atom) = -1037
- calculated density (g/cm3) = 3.66

Unit cell a=6.344 b=6.635 c=8.389 alpha=89.08 beta=89.97 gamma=89.04
Space group P-1 (No. 2)
Inequivalent atoms, fractional coordinates:
V 0.000 0.000 0.000
Sn 0.487 0.482 0.768
Pb 0.000 0.000 0.500
Cl 0.209 0.833 0.784
Cl 0.227 0.304 0.980
Cl 0.235 0.865 0.219
Cl 0.274 0.346 0.516